[1]
This record from Alexandria via LeMat-Bulk describes an optimized crystal structure of Ta3CS3. The functional is PBE-GGA.

The structure in extended XYZ format:
```
14
Lattice="7.082 0.000 0.000 0.000 3.313 0.000 -0.100 0.000 9.751" Properties=species:S:1:pos:R:3 pbc="T T T"
Ta 0.578 0.828 3.763
Ta 0.854 0.828 8.177
Ta 2.205 2.485 6.167
Ta 4.777 0.828 3.584
Ta 6.128 2.485 1.574
Ta 6.405 2.485 5.988
C 0.769 0.828 5.957
C 6.213 2.485 3.794
S 0.869 0.828 1.200
S 2.663 2.485 3.665
S 2.626 2.485 8.570
S 4.356 0.828 1.181
S 4.319 0.828 6.085
S 6.113 2.485 8.551
```

Summary:
**Spin magnetization**: 0.00 Bohr magnetons per cell
**Formation energy (no corrections)**: -0.888 eV per atom
**Symmetry**: P2_1/m
**Crystal system**: monoclinic
**Volume**: 16.34 A^3/atom


[2]
This record from Alexandria via LeMat-Bulk describes an optimized crystal structure of Ta2CS. The functional is PBE-GGA.

The structure in extended XYZ format:
```
4
Lattice="1.608 0.928 6.057 -1.608 0.928 6.057 0.000 -1.856 6.057" Properties=species:S:1:pos:R:3 pbc="T T T"
Ta 0.000 0.000 0.000
Ta 0.000 0.000 3.648
C 0.000 0.000 10.938
S 0.000 0.000 13.987
```

Summary:
**Spin magnetization**: 0.00 Bohr magnetons per cell
**Formation energy (no corrections)**: -0.651 eV per atom
**Symmetry**: R3m
**Crystal system**: trigonal
**Volume**: 13.56 A^3/atom


[3]
This record from Alexandria via LeMat-Bulk describes an optimized crystal structure of Ta2CS. The functional is PBE-GGA.

The structure in extended XYZ format:
```
4
Lattice="0.000 2.954 2.954 2.954 0.000 2.954 2.954 2.954 0.000" Properties=species:S:1:pos:R:3 pbc="T T T"
Ta 1.477 1.477 1.477
Ta 4.431 4.431 4.431
C 0.000 0.000 0.000
S 2.954 2.954 2.954
```

Summary:
**Spin magnetization**: 0.00 Bohr magnetons per cell
**Formation energy (no corrections)**: 0.064 eV per atom
**Symmetry**: Fm-3m
**Crystal system**: cubic
**Volume**: 12.89 A^3/atom


[4]
This record from Alexandria via LeMat-Bulk describes an optimized crystal structure of Ta3CS. The functional is PBE-GGA.

The structure in extended XYZ format:
```
5
Lattice="4.282 0.000 0.000 0.000 4.282 0.000 0.000 0.000 4.282" Properties=species:S:1:pos:R:3 pbc="T T T"
Ta 0.000 0.000 2.141
Ta 0.000 2.141 0.000
Ta 2.141 0.000 0.000
C 0.000 0.000 0.000
S 2.141 2.141 2.141
```

Summary:
**Spin magnetization**: 0.00 Bohr magnetons per cell
**Formation energy (no corrections)**: 0.340 eV per atom
**Symmetry**: Pm-3m
**Crystal system**: cubic
**Volume**: 15.71 A^3/atom


[5]
This record from Alexandria via LeMat-Bulk describes an optimized crystal structure of TaC3S. The functional is PBE-GGA.

The structure in extended XYZ format:
```
5
Lattice="4.237 0.000 0.000 0.000 4.237 0.000 0.000 0.000 4.237" Properties=species:S:1:pos:R:3 pbc="T T T"
Ta 0.000 0.000 0.000
C 0.000 0.000 2.118
C 0.000 2.118 0.000
C 2.118 0.000 0.000
S 2.118 2.118 2.118
```

Summary:
**Spin magnetization**: 0.00 Bohr magnetons per cell
**Formation energy (no corrections)**: 2.353 eV per atom
**Symmetry**: Pm-3m
**Crystal system**: cubic
**Volume**: 15.21 A^3/atom


[6]
This record from Alexandria via LeMat-Bulk describes an optimized crystal structure of TaTiCS. The functional is PBE-GGA.

The structure in extended XYZ format:
```
4
Lattice="1.615 0.932 5.824 -1.615 0.932 5.824 0.000 -1.864 5.824" Properties=species:S:1:pos:R:3 pbc="T T T"
Ta 0.000 0.000 0.000
Ti 0.000 0.000 3.546
C 0.000 0.000 10.500
S 0.000 0.000 7.593
```

Summary:
**Spin magnetization**: 0.00 Bohr magnetons per cell
**Formation energy (no corrections)**: -0.951 eV per atom
**Symmetry**: R3m
**Crystal system**: trigonal
**Volume**: 13.15 A^3/atom


[7]
This record from Alexandria via LeMat-Bulk describes an optimized crystal structure of Ta6TiC3S6. The functional is PBE-GGA.

The structure in extended XYZ format:
```
16
Lattice="2.871 -4.972 0.000 2.871 4.972 0.000 -1.914 0.000 8.726" Properties=species:S:1:pos:R:3 pbc="T T T"
Ta -0.004 0.000 3.232
Ta 0.955 1.654 5.510
Ta 2.872 1.654 3.215
Ta 0.955 -1.654 5.510
Ta 2.872 -1.654 3.215
Ta 3.831 0.000 5.493
Ti 0.000 0.000 0.000
C 1.914 3.300 4.363
C 1.914 0.000 4.363
C 1.914 -3.300 4.363
S 0.961 1.663 1.549
S 0.007 0.000 7.186
S 0.961 -1.663 1.549
S 2.866 1.663 7.177
S 3.820 0.000 1.539
S 2.866 -1.663 7.177
```

Summary:
**Spin magnetization**: 1.32 Bohr magnetons per cell
**Formation energy (no corrections)**: -0.968 eV per atom
**Symmetry**: C2/m
**Crystal system**: monoclinic
**Volume**: 15.57 A^3/atom


[8]
This record from Alexandria via LeMat-Bulk describes an optimized crystal structure of TaZnCS2. The functional is PBE-GGA.

The structure in extended XYZ format:
```
5
Lattice="4.269 0.000 0.000 0.000 4.269 0.000 0.000 0.000 4.213" Properties=species:S:1:pos:R:3 pbc="T T T"
Ta 0.000 0.000 0.000
Zn 2.134 2.134 0.000
C 0.000 0.000 2.107
S 0.000 2.134 2.107
S 2.134 0.000 2.107
```

Summary:
**Spin magnetization**: 0.00 Bohr magnetons per cell
**Formation energy (no corrections)**: 0.991 eV per atom
**Symmetry**: P4/mmm
**Crystal system**: tetragonal
**Volume**: 15.36 A^3/atom


no.,calculated total energy (eV/atom)
1,-9.054
2,-9.916
3,-9.200
4,-9.442
5,-6.378
6,-9.226
7,-9.184
8,-5.130